[1]
# LiPtRh2 PBE relaxed
# - crystal system = cubic
# - ΔE to the lowest computed polymorph (eV per atom) = 0.247
# - V (A^3/atom) = 14.3
# - ρ (g/cm³) = 11.9
# - total magnetization (μB per atom) = 0.4407
# - formation enthalpy at 0 K (eV/atom) = -0.01
data_LiPtRh2
_chemical_formula_sum 'Li1 Pt1 Rh2'
_space_group_name_H-M_alt 'P 1'
_space_group_IT_number 1
_cell_length_a 4.322
_cell_length_b 4.322
_cell_length_c 4.322
_cell_angle_alpha 60.00
_cell_angle_beta 60.00
_cell_angle_gamma 60.00
loop_
_space_group_symop_operation_xyz
'x,y,z'
loop_
_atom_site_label
_atom_site_fract_x
_atom_site_fract_y
_atom_site_fract_z
Rh1 0.250 0.250 0.250
Li1 0.500 0.500 0.500
Rh2 0.000 0.000 0.000
Pt1 0.750 0.750 0.750


[2]
# Zn4CrNi5 PBE relaxed
# - crystal system = tetragonal
# - V (A^3/atom) = 11.9
# - ρ (g/cm³) = 8.5
# - total magnetization (μB per atom) = 0.0891
# - formation enthalpy at 0 K (eV/atom) = -0.17
data_Zn4CrNi5
_chemical_formula_sum 'Zn4 Cr1 Ni5'
_space_group_name_H-M_alt 'P 1'
_space_group_IT_number 1
_cell_length_a 2.636
_cell_length_b 2.636
_cell_length_c 17.126
_cell_angle_alpha 90.00
_cell_angle_beta 90.00
_cell_angle_gamma 90.00
loop_
_space_group_symop_operation_xyz
'x,y,z'
loop_
_atom_site_label
_atom_site_fract_x
_atom_site_fract_y
_atom_site_fract_z
Ni1 0.500 0.500 0.500
Zn1 0.000 0.000 0.800
Ni2 0.500 0.500 0.097
Ni3 0.500 0.500 0.700
Ni4 0.500 0.500 0.300
Zn2 0.000 0.000 0.200
Zn3 0.000 0.000 0.600
Cr1 0.000 0.000 0.000
Ni5 0.500 0.500 0.903
Zn4 0.000 0.000 0.400


[3]
# Ta2Al2Zn PBE relaxed
# - crystal system = tetragonal
# - V (A^3/atom) = 16.5
# - ρ (g/cm³) = 9.7
# - total magnetization (μB per atom) = 0.0000
# - formation enthalpy at 0 K (eV/atom) = 0.06
data_Ta2Al2Zn
_chemical_formula_sum 'Ta4 Al4 Zn2'
_space_group_name_H-M_alt 'P 1'
_space_group_IT_number 1
_cell_length_a 6.519
_cell_length_b 6.519
_cell_length_c 3.890
_cell_angle_alpha 90.00
_cell_angle_beta 90.00
_cell_angle_gamma 90.00
loop_
_space_group_symop_operation_xyz
'x,y,z'
loop_
_atom_site_label
_atom_site_fract_x
_atom_site_fract_y
_atom_site_fract_z
Ta1 0.831 0.331 0.500
Al1 0.367 0.867 0.000
Ta2 0.169 0.669 0.500
Al2 0.133 0.367 0.000
Al3 0.867 0.633 0.000
Zn1 0.000 0.000 0.000
Ta3 0.331 0.169 0.500
Zn2 0.500 0.500 0.000
Ta4 0.669 0.831 0.500
Al4 0.633 0.133 0.000


[4]
# AgHgPd2 PBE relaxed
# - crystal system = tetragonal
# - ΔE to the lowest computed polymorph (eV per atom) = 0.022
# - V (A^3/atom) = 17.4
# - ρ (g/cm³) = 12.5
# - total magnetization (μB per atom) = 0.0000
# - formation enthalpy at 0 K (eV/atom) = -0.11
data_AgHgPd2
_chemical_formula_sum 'Ag1 Hg1 Pd2'
_space_group_name_H-M_alt 'P 1'
_space_group_IT_number 1
_cell_length_a 3.341
_cell_length_b 3.341
_cell_length_c 6.223
_cell_angle_alpha 90.00
_cell_angle_beta 90.00
_cell_angle_gamma 90.00
loop_
_space_group_symop_operation_xyz
'x,y,z'
loop_
_atom_site_label
_atom_site_fract_x
_atom_site_fract_y
_atom_site_fract_z
Hg1 0.500 0.500 0.000
Ag1 0.500 0.500 0.500
Pd1 0.000 0.000 0.748
Pd2 0.000 0.000 0.252


[5]
# Ba3H PBE relaxed
# - crystal system = orthorhombic
# - ΔE to the lowest computed polymorph (eV per atom) = 0.097
# - V (A^3/atom) = 42.6
# - ρ (g/cm³) = 4.0
# - total magnetization (μB per atom) = 0.0001
data_Ba3H
_chemical_formula_sum 'Ba3 H1'
_space_group_name_H-M_alt 'P 1'
_space_group_IT_number 1
_cell_length_a 3.939
_cell_length_b 7.154
_cell_length_c 7.300
_cell_angle_alpha 119.34
_cell_angle_beta 105.65
_cell_angle_gamma 90.00
loop_
_space_group_symop_operation_xyz
'x,y,z'
loop_
_atom_site_label
_atom_site_fract_x
_atom_site_fract_y
_atom_site_fract_z
Ba1 0.341 0.729 0.682
Ba2 0.659 0.047 0.318
Ba3 0.500 0.349 0.000
H1 0.000 0.041 0.000


[6]
# KCa4Pb5 PBE relaxed
# - crystal system = tetragonal
# - V (A^3/atom) = 32.2
# - ρ (g/cm³) = 6.4
# - total magnetization (μB per atom) = 0.0000
# - formation enthalpy at 0 K (eV/atom) = -0.43
data_KCa4Pb5
_chemical_formula_sum 'K1 Ca4 Pb5'
_space_group_name_H-M_alt 'P 1'
_space_group_IT_number 1
_cell_length_a 3.987
_cell_length_b 3.987
_cell_length_c 20.234
_cell_angle_alpha 90.00
_cell_angle_beta 90.00
_cell_angle_gamma 90.00
loop_
_space_group_symop_operation_xyz
'x,y,z'
loop_
_atom_site_label
_atom_site_fract_x
_atom_site_fract_y
_atom_site_fract_z
Pb1 0.500 0.500 0.121
Ca1 0.000 0.000 0.598
Ca2 0.000 0.000 0.402
K1 0.000 0.000 0.000
Pb2 0.500 0.500 0.500
Pb3 0.500 0.500 0.879
Pb4 0.500 0.500 0.694
Ca3 0.000 0.000 0.789
Ca4 0.000 0.000 0.211
Pb5 0.500 0.500 0.306


[7]
# TcSbHSeF PBE relaxed
# - crystal system = monoclinic
# - ΔE to the lowest computed polymorph (eV per atom) = 0.000
# - V (A^3/atom) = 16.1
# - ρ (g/cm³) = 6.6
# - total magnetization (μB per atom) = 0.0000
data_TcSbHSeF
_chemical_formula_sum 'Tc1 Sb1 H1 Se1 F1'
_space_group_name_H-M_alt 'P 1'
_space_group_IT_number 1
_cell_length_a 3.059
_cell_length_b 3.194
_cell_length_c 8.246
_cell_angle_alpha 90.00
_cell_angle_beta 90.17
_cell_angle_gamma 90.00
loop_
_space_group_symop_operation_xyz
'x,y,z'
loop_
_atom_site_label
_atom_site_fract_x
_atom_site_fract_y
_atom_site_fract_z
Sb1 0.119 0.500 0.444
Se1 0.623 0.500 0.902
Tc1 0.122 0.000 0.738
F1 0.118 0.000 0.249
H1 0.621 0.000 0.621


[8]
# AlCu2SbPd PBE relaxed
# - crystal system = tetragonal
# - ΔE to the lowest computed polymorph (eV per atom) = 0.010
# - V (A^3/atom) = 22.6
# - formation energy from raw total energies (eV per atom) = 0.571
# - ρ (g/cm³) = 5.6
# - total magnetization (μB per atom) = 0.0000
data_AlCu2SbPd
_chemical_formula_sum 'Al1 Cu2 Sb1 Pd1'
_space_group_name_H-M_alt 'P 1'
_space_group_IT_number 1
_cell_length_a 4.798
_cell_length_b 4.908
_cell_length_c 4.798
_cell_angle_alpha 90.00
_cell_angle_beta 90.00
_cell_angle_gamma 90.00
loop_
_space_group_symop_operation_xyz
'x,y,z'
loop_
_atom_site_label
_atom_site_fract_x
_atom_site_fract_y
_atom_site_fract_z
Sb1 0.000 0.500 0.000
Al1 0.500 0.500 0.500
Cu1 0.500 0.000 0.000
Pd1 0.000 0.000 0.000
Cu2 0.000 0.000 0.500


[9]
# GaMoPt3 PBE relaxed
# - crystal system = cubic
# - ΔE to the lowest computed polymorph (eV per atom) = 0.000
# - V (A^3/atom) = 19.5
# - ρ (g/cm³) = 12.8
# - total magnetization (μB per atom) = 0.7799
# - formation enthalpy at 0 K (eV/atom) = 0.83
data_GaMoPt3
_chemical_formula_sum 'Ga1 Mo1 Pt3'
_space_group_name_H-M_alt 'P 1'
_space_group_IT_number 1
_cell_length_a 4.601
_cell_length_b 4.601
_cell_length_c 4.601
_cell_angle_alpha 90.00
_cell_angle_beta 90.00
_cell_angle_gamma 90.00
loop_
_space_group_symop_operation_xyz
'x,y,z'
loop_
_atom_site_label
_atom_site_fract_x
_atom_site_fract_y
_atom_site_fract_z
Ga1 0.000 0.000 0.000
Mo1 0.500 0.500 0.500
Pt1 0.000 0.500 0.000
Pt2 0.000 0.000 0.500
Pt3 0.500 0.000 0.000


[10]
# PmHo2Fe PBE relaxed
# - crystal system = trigonal
# - ΔE to the lowest computed polymorph (eV per atom) = 0.247
# - V (A^3/atom) = 27.8
# - ρ (g/cm³) = 7.9
# - total magnetization (μB per atom) = 0.2546
# - formation enthalpy at 0 K (eV/atom) = 0.31
data_PmHo2Fe
_chemical_formula_sum 'Pm1 Ho2 Fe1'
_space_group_name_H-M_alt 'P 1'
_space_group_IT_number 1
_cell_length_a 3.469
_cell_length_b 3.469
_cell_length_c 10.842
_cell_angle_alpha 80.80
_cell_angle_beta 80.80
_cell_angle_gamma 60.00
loop_
_space_group_symop_operation_xyz
'x,y,z'
loop_
_atom_site_label
_atom_site_fract_x
_atom_site_fract_y
_atom_site_fract_z
Ho1 0.891 0.891 0.327
Pm1 0.000 0.000 0.000
Fe1 0.500 0.500 0.500
Ho2 0.109 0.109 0.673


[11]
# CeAl2SiAu PBE relaxed
# - crystal system = orthorhombic
# - V (A^3/atom) = 19.3
# - formation energy from raw total energies (eV per atom) = -0.523
# - ρ (g/cm³) = 7.2
# - total magnetization (μB per atom) = 0.1829
data_CeAl2SiAu
_chemical_formula_sum 'Ce1 Al2 Si1 Au1'
_space_group_name_H-M_alt 'P 1'
_space_group_IT_number 1
_cell_length_a 4.192
_cell_length_b 4.163
_cell_length_c 6.257
_cell_angle_alpha 109.43
_cell_angle_beta 109.57
_cell_angle_gamma 90.00
loop_
_space_group_symop_operation_xyz
'x,y,z'
loop_
_atom_site_label
_atom_site_fract_x
_atom_site_fract_y
_atom_site_fract_z
Ce1 0.437 0.437 0.875
Al1 0.696 0.196 0.391
Au1 0.191 0.691 0.381
Al2 0.054 0.054 0.107
Si1 0.835 0.835 0.670


[12]
# Lu3In5Se12 PBE relaxed
# - crystal system = cubic
# - V (A^3/atom) = 27.5
# - formation energy from raw total energies (eV per atom) = -0.907
# - ρ (g/cm³) = 6.2
# - total magnetization (μB per atom) = 0.0000
data_Lu3In5Se12
_chemical_formula_sum 'Lu12 In20 Se48'
_space_group_name_H-M_alt 'P 1'
_space_group_IT_number 1
_cell_length_a 14.187
_cell_length_b 14.187
_cell_length_c 14.187
_cell_angle_alpha 109.47
_cell_angle_beta 109.47
_cell_angle_gamma 109.47
loop_
_space_group_symop_operation_xyz
'x,y,z'
loop_
_atom_site_label
_atom_site_fract_x
_atom_site_fract_y
_atom_site_fract_z
Se1 0.587 0.866 0.414
Se2 0.366 0.953 0.780
Se3 0.547 0.327 0.914
Se4 0.914 0.087 0.866
In1 0.125 0.750 0.375
Se5 0.280 0.866 0.953
Se6 0.086 0.173 0.453
In2 0.000 0.500 0.000
In3 0.500 0.500 0.500
Lu1 0.125 0.875 0.750
Se7 0.453 0.780 0.866
Se8 0.586 0.634 0.413
Se9 0.173 0.087 0.720
Se10 0.413 0.134 0.586
Lu2 0.875 0.125 0.250
Se11 0.913 0.827 0.780
In4 0.875 0.625 0.750
Lu3 0.375 0.750 0.625
Se12 0.453 0.673 0.086
Se13 0.827 0.913 0.280
Se14 0.780 0.327 0.913
In5 0.625 0.750 0.875
Lu4 0.625 0.250 0.375
Se15 0.720 0.134 0.047
Se16 0.413 0.280 0.327
Se17 0.913 0.086 0.634
Se18 0.134 0.720 0.547
Se19 0.673 0.220 0.587
Se20 0.634 0.586 0.913
In6 0.250 0.375 0.625
Lu5 0.875 0.750 0.125
Se21 0.414 0.366 0.587
In7 0.375 0.250 0.125
Se22 0.086 0.913 0.134
Se23 0.327 0.780 0.413
Se24 0.134 0.413 0.086
In8 0.500 0.000 0.500
Se25 0.280 0.413 0.827
In9 0.500 0.000 0.000
Se26 0.827 0.914 0.047
Se27 0.587 0.720 0.673
Lu6 0.125 0.250 0.875
Se28 0.220 0.547 0.634
In10 0.125 0.375 0.250
Se29 0.366 0.414 0.087
Se30 0.087 0.173 0.220
In11 0.000 0.000 0.500
Se31 0.087 0.914 0.366
Se32 0.634 0.047 0.220
In12 0.000 0.000 0.000
Se33 0.547 0.220 0.134
Se34 0.327 0.547 0.414
Se35 0.953 0.366 0.280
Se36 0.720 0.587 0.173
In13 0.750 0.125 0.875
Se37 0.866 0.280 0.453
In14 0.750 0.625 0.375
In15 0.375 0.125 0.750
In16 0.875 0.250 0.625
In17 0.000 0.500 0.500
Lu7 0.625 0.375 0.750
Se38 0.866 0.587 0.914
Se39 0.586 0.953 0.673
Se40 0.953 0.586 0.173
Se41 0.047 0.414 0.827
Se42 0.673 0.453 0.586
In18 0.250 0.875 0.125
Se43 0.173 0.086 0.953
Se44 0.914 0.827 0.547
Se45 0.414 0.047 0.327
Se46 0.220 0.673 0.087
Lu8 0.750 0.875 0.625
Lu9 0.750 0.375 0.125
Lu10 0.250 0.625 0.875
Se47 0.780 0.453 0.366
In19 0.500 0.500 0.000
In20 0.625 0.875 0.250
Se48 0.047 0.634 0.720
Lu11 0.375 0.625 0.250
Lu12 0.250 0.125 0.375